DFT (GGA-PBE) results for a relaxed CsGe2H crystal.

## Properties
Theoretical density   4.50 g/cm³
Total magnetization   0.000 μB/atom
Space-group type   Fm-3m (225)
Offset from the most stable computed form   3.13 eV/f.u.

Cell: 5.2620 5.2620 5.2620 Å, 60.00 60.00 60.00°
Fractional coordinates of all 4 atoms:
1 Cs 0.5000 0.5000 0.5000
2 H 0.0000 0.0000 0.0000
3 Ge 0.2500 0.2500 0.2500
4 Ge 0.7500 0.7500 0.7500



DFT (GGA-PBE) results for a relaxed CsGeH crystal.

## Properties
Theoretical density   3.41 g/cm³
Total magnetization   0.000 μB/atom
Space-group type   C2/m (12)
Offset from the most stable computed form   0.04 eV/f.u.

Cell: 5.2894 5.7076 7.2397 Å, 98.04 111.43 90.00°
Fractional coordinates of all 6 atoms:
1 Cs 0.3603 0.8001 0.7207
2 Cs 0.6397 0.1999 0.2793
3 H 0.8468 0.5208 0.6936
4 H 0.1532 0.4792 0.3064
5 Ge 0.0684 0.6594 0.1368
6 Ge 0.9316 0.3406 0.8632



DFT (GGA-PBE) results for a relaxed Cs2GeH6 crystal.

## Properties
E   -2.91 eV/atom
Theoretical density   3.14 g/cm³
Total magnetization   0.000 μB/atom
Space-group type   P4_2/mnm (136)

Cell: 5.6163 5.6163 11.5508 Å, 90.00 90.00 90.00°
Fractional coordinates of all 18 atoms:
1 Cs 0.0000 0.0000 0.3336
2 Cs 0.5000 0.5000 0.8336
3 Cs 0.5000 0.5000 0.1664
4 Cs 0.0000 0.0000 0.6664
5 Ge 0.0000 0.0000 0.0000
6 Ge 0.5000 0.5000 0.5000
7 H 0.3498 0.3498 0.3943
8 H 0.6502 0.6502 0.3943
9 H 0.1502 0.8498 0.8943
10 H 0.8498 0.1502 0.8943
11 H 0.1502 0.8498 0.1057
12 H 0.8498 0.1502 0.1057
13 H 0.3498 0.3498 0.6057
14 H 0.6502 0.6502 0.6057
15 H 0.2132 0.2132 0.0000
16 H 0.7868 0.7868 0.0000
17 H 0.2868 0.7132 0.5000
18 H 0.7132 0.2868 0.5000



DFT (GGA-PBE) results for a relaxed Cs3Ge2H6 crystal.

## Properties
E   -3.04 eV/atom
Theoretical density   2.52 g/cm³
Total magnetization   0.000 μB/atom
Space-group type   C2/m (12)

Cell: 5.6773 5.6773 13.5347 Å, 90.91 90.91 56.16°
Fractional coordinates of all 11 atoms:
1 Cs 0.0000 0.0000 0.0000
2 Cs 0.6512 0.6512 0.3351
3 Cs 0.3488 0.3488 0.6649
4 Ge 0.3449 0.3449 0.1634
5 Ge 0.6551 0.6551 0.8366
6 H 0.9776 0.5412 0.8662
7 H 0.5411 0.9776 0.8662
8 H 0.0224 0.4588 0.1338
9 H 0.4589 0.0224 0.1338
10 H 0.7010 0.7011 0.7230
11 H 0.2990 0.2989 0.2770



DFT (GGA-PBE) results for a relaxed CsHg2GeH crystal.

## Properties
E   -0.97 eV/atom
Theoretical density   2.32 g/cm³
Total magnetization   0.800 μB/atom
Space-group type   P4/mmm (123)

Cell: 7.8564 7.0413 7.8564 Å, 90.00 90.00 90.00°
Fractional coordinates of all 5 atoms:
1 Cs 0.0000 0.0000 0.0000
2 H 0.5000 0.5000 0.5000
3 Ge 0.0000 0.5000 0.0000
4 Hg 0.0000 0.0000 0.5000
5 Hg 0.5000 0.0000 0.0000



DFT (GGA-PBE) results for a relaxed CsMn2GeH crystal.

## Properties
E   -4.35 eV/atom
Theoretical density   5.30 g/cm³
Total magnetization   1.599 μB/atom
Space-group type   P4/mmm (123)

Cell: 4.8918 4.1401 4.8918 Å, 90.00 90.00 90.00°
Fractional coordinates of all 5 atoms:
1 Cs 0.5000 0.5000 0.5000
2 H 0.0000 0.0000 0.0000
3 Ge 0.0000 0.5000 0.0000
4 Mn 0.0000 0.0000 0.5000
5 Mn 0.5000 0.0000 0.0000



Question: Which formula does entry 2 have?
Answer: CsGeH